Tb3Y12Tm | GGA-PBE | relaxed

V: 32.03 A^3/atom
calculated formation energy: 0.02 eV/atom
crystal system: tetragonal
spin magnetization: 0.0 μB per cell

The structure in CIF format:
```
data_Tb3Y12Tm
_cell_length_a 5.041
_cell_length_b 5.041
_cell_length_c 20.167
_cell_angle_alpha 90.00
_cell_angle_beta 90.00
_cell_angle_gamma 90.00
_space_group_name_H-M_alt 'P 4/m m m'
_space_group_IT_number 123
_space_group_name_Hall '-P 4 2'
loop_
_atom_site_label
_atom_site_fract_x
_atom_site_fract_y
_atom_site_fract_z
Tb1 0.000 0.000 0.000
Tb2 0.000 0.000 0.250
Y1 0.000 0.500 0.125
Y2 0.000 0.500 0.376
Y3 0.500 0.500 0.000
Y4 0.500 0.500 0.251
Y5 0.500 0.500 0.500
Tm1 0.000 0.000 0.500
```


Cd12Bi5Te3 | GGA-PBE | relaxed

formation energy without anion corrections: 1.207 eV per formula unit
V: 33.89 A^3/atom
crystal system: cubic
spin magnetization: 0.0 μB per cell

The structure in CIF format:
```
data_Cd12Bi5Te3
_cell_length_a 17.568
_cell_length_b 17.568
_cell_length_c 17.568
_cell_angle_alpha 90.00
_cell_angle_beta 90.00
_cell_angle_gamma 90.00
_space_group_name_H-M_alt 'I a -3 d'
_space_group_IT_number 230
_space_group_name_Hall '-I 4bd 2c 3'
loop_
_atom_site_label
_atom_site_fract_x
_atom_site_fract_y
_atom_site_fract_z
Cd1 0.017 0.077 0.653
Bi1 0.000 0.000 0.000
Bi2 0.000 0.250 0.375
Te1 0.000 0.250 0.125
```


CsCaAlSi2 | GGA-PBE | relaxed

formation energy without anion corrections: 4.342 eV per formula unit
V: 36.87 A^3/atom
crystal system: tetragonal
spin magnetization: 0.0 μB per cell

The structure in CIF format:
```
data_CsCaAlSi2
_cell_length_a 5.604
_cell_length_b 5.604
_cell_length_c 5.872
_cell_angle_alpha 90.00
_cell_angle_beta 90.00
_cell_angle_gamma 90.00
_space_group_name_H-M_alt 'P 4/m m m'
_space_group_IT_number 123
_space_group_name_Hall '-P 4 2'
loop_
_atom_site_label
_atom_site_fract_x
_atom_site_fract_y
_atom_site_fract_z
Cs1 0.000 0.000 0.000
Ca1 0.500 0.500 0.500
Al1 0.500 0.500 0.000
Si1 0.000 0.500 0.500
```


PrErPb2 | GGA-PBE | relaxed

V: 29.25 A^3/atom
calculated formation energy: -0.45 eV/atom
crystal system: tetragonal
spin magnetization: 0.0 μB per cell

The structure in CIF format:
```
data_PrErPb2
_cell_length_a 5.074
_cell_length_b 5.074
_cell_length_c 4.545
_cell_angle_alpha 90.00
_cell_angle_beta 90.00
_cell_angle_gamma 90.00
_space_group_name_H-M_alt 'P 4/m m m'
_space_group_IT_number 123
_space_group_name_Hall '-P 4 2'
loop_
_atom_site_label
_atom_site_fract_x
_atom_site_fract_y
_atom_site_fract_z
Pr1 0.000 0.000 0.000
Er1 0.500 0.500 0.000
Pb1 0.000 0.500 0.500
```


Mg2SiAu | GGA-PBE | relaxed

formation energy without anion corrections: -0.683 eV per formula unit
V: 18.02 A^3/atom
crystal system: tetragonal
spin magnetization: 0.0 μB per cell

The structure in CIF format:
```
data_Mg2SiAu
_cell_length_a 4.055
_cell_length_b 4.055
_cell_length_c 8.769
_cell_angle_alpha 90.00
_cell_angle_beta 90.00
_cell_angle_gamma 90.00
_space_group_name_H-M_alt 'I -4 m 2'
_space_group_IT_number 119
_space_group_name_Hall 'I -4 -2'
loop_
_atom_site_label
_atom_site_fract_x
_atom_site_fract_y
_atom_site_fract_z
Mg1 0.000 0.000 0.000
Mg2 0.000 0.500 0.250
Si1 0.000 0.500 0.750
Au1 0.000 0.000 0.500
```


ScAgHRh2 | GGA-PBE | relaxed

V: 13.28 A^3/atom
excess energy over the best structure of this formula in the dataset: 0.000 eV per formula unit
crystal system: tetragonal
spin magnetization: 0.0 μB per cell

The structure in CIF format:
```
data_ScAgHRh2
_cell_length_a 4.011
_cell_length_b 4.011
_cell_length_c 4.128
_cell_angle_alpha 90.00
_cell_angle_beta 90.00
_cell_angle_gamma 90.00
_space_group_name_H-M_alt 'P 4/m m m'
_space_group_IT_number 123
_space_group_name_Hall '-P 4 2'
loop_
_atom_site_label
_atom_site_fract_x
_atom_site_fract_y
_atom_site_fract_z
Sc1 0.000 0.000 0.000
Ag1 0.500 0.500 0.000
H1 0.000 0.000 0.500
Rh1 0.000 0.500 0.500
```